Here is a relaxed structure of LaTb5Pr2Tm from Alexandria via LeMat-Bulk. Energies are from PBE-GGA. Values from VASP.

Geometry as Quantum ESPRESSO input:
```
&SYSTEM
  ibrav = 0, nat = 18, ntyp = 4
/
ATOMIC_SPECIES
La 138.91 La.upf
Tb 158.93 Tb.upf
Pr 140.91 Pr.upf
Tm 168.93 Tm.upf
CELL_PARAMETERS angstrom
8.783 0.000 0.000
0.000 8.783 0.000
-4.392 -4.392 7.872
ATOMIC_POSITIONS crystal
La 0.250 0.250 0.500
La 0.750 0.750 0.500
Tb 0.428 0.348 0.276
Tb 0.152 0.072 0.724
Tb 0.500 0.500 0.000
Tb 0.072 0.572 0.724
Tb 0.652 0.152 0.724
Tb 0.572 0.652 0.724
Tb 0.348 0.848 0.276
Tb 0.000 0.000 0.000
Tb 0.928 0.428 0.276
Tb 0.848 0.928 0.276
Pr 0.618 0.118 0.000
Pr 0.118 0.382 0.000
Pr 0.882 0.618 0.000
Pr 0.382 0.882 0.000
Tm 0.250 0.750 0.500
Tm 0.750 0.250 0.500
```

Calculated values
**Spin magnetization**: 0.0 μB per cell
**ΔH_f (0 K)**: 2.37 eV per formula unit
**Symmetry**: I4/mcm (140)